1.
# Dy3Th4Sc2

An optimized crystal structure of Dy3Th4Sc2 (PBE, the Alexandria database).

Cell and atoms, written as CIF:
```
data_Dy3Th4Sc2
_chemical_formula_sum 'Dy12 Th16 Sc8'
_cell_length_a 16.0893
_cell_length_b 10.2372
_cell_length_c 6.8450
_cell_angle_alpha 90.00
_cell_angle_beta 101.72
_cell_angle_gamma 90.00
_space_group_name_H-M_alt 'C 1 2/c 1'
_space_group_IT_number 15
loop_
_space_group_symop_operation_xyz
'x,y,z'
'-x,-y,-z'
'-x,y,-z+1/2'
'x,-y,z+1/2'
'x+1/2,y+1/2,z'
'-x+1/2,-y+1/2,-z'
'-x+1/2,y+1/2,-z+1/2'
'x+1/2,-y+1/2,z+1/2'
loop_
_atom_site_label
_atom_site_fract_x
_atom_site_fract_y
_atom_site_fract_z
_atom_site_occupancy
Dy1 0.0000 0.0172 0.2500 1
Dy2 0.1642 0.4935 0.8273 1
Th1 0.0002 0.3208 0.0024 1
Th2 0.1705 0.1614 0.8392 1
Sc1 0.1771 0.1810 0.3373 1
```

Total magnetic moment: 0.001 μB per cell
DFT formation energy: 0.142 eV per atom
Electronic total energy: -0.448 Ry/atom

2.
# Pm6TlSi2

An optimized crystal structure of Pm6TlSi2 (PBE, the Alexandria database).

Cell and atoms, written as CIF:
```
data_Pm6TlSi2
_chemical_formula_sum 'Pm6 Tl1 Si2'
_cell_length_a 8.2225
_cell_length_b 8.2225
_cell_length_c 4.3596
_cell_angle_alpha 90.00
_cell_angle_beta 90.00
_cell_angle_gamma 120.00
_space_group_name_H-M_alt 'P -6 2 m'
_space_group_IT_number 189
_space_group_name_Hall 'P -6 -2'
loop_
_atom_site_label
_atom_site_fract_x
_atom_site_fract_y
_atom_site_fract_z
_atom_site_occupancy
Pm1 0.0000 0.4113 0.0000 1
Pm2 0.0000 0.7159 0.5000 1
Tl1 0.0000 0.0000 0.0000 1
Si1 0.3333 0.6667 0.5000 1
```

Total magnetic moment: 0.001 μB per cell
Excess energy over the best structure of this formula in the dataset: 0.081 eV/atom
Electronic total energy: -0.369 Ry/atom
Formation energy from raw total energies: -3.5 eV/f.u.

3.
# Rb2YBiCl6

An optimized crystal structure of Rb2YBiCl6 (PBE, the Alexandria database).

Cell and atoms, written as CIF:
```
data_Rb2YBiCl6
_chemical_formula_sum 'Rb4 Y2 Bi2 Cl12'
_cell_length_a 7.6568
_cell_length_b 7.6568
_cell_length_c 13.2642
_cell_angle_alpha 90.00
_cell_angle_beta 90.00
_cell_angle_gamma 90.00
_space_group_name_H-M_alt 'I 4/m m m'
_space_group_IT_number 139
_space_group_name_Hall '-I 4 2'
loop_
_atom_site_label
_atom_site_fract_x
_atom_site_fract_y
_atom_site_fract_z
_atom_site_occupancy
Rb1 0.0000 0.5000 0.2500 1
Y1 0.0000 0.0000 0.0000 1
Bi1 0.0000 0.0000 0.5000 1
Cl1 0.0000 0.0000 0.1986 1
Cl2 0.2431 0.2431 0.0000 1
```

Total magnetic moment: 0.000 μB per cell
Electronic total energy: -0.292 Ry/atom
Formation energy from raw total energies: -16.3 eV/f.u.

4.
# RuRhN2

An optimized crystal structure of RuRhN2 (PBE, the Alexandria database).

Cell and atoms, written as CIF:
```
data_RuRhN2
_chemical_formula_sum 'Ru4 Rh4 N8'
_cell_length_a 4.5961
_cell_length_b 4.5961
_cell_length_c 9.1475
_cell_angle_alpha 90.00
_cell_angle_beta 90.00
_cell_angle_gamma 90.00
_space_group_name_H-M_alt 'I -4 2 d'
_space_group_IT_number 122
_space_group_name_Hall 'I -4 2bw'
loop_
_atom_site_label
_atom_site_fract_x
_atom_site_fract_y
_atom_site_fract_z
_atom_site_occupancy
Ru1 0.0000 0.0000 0.0000 1
Rh1 0.0000 0.0000 0.5000 1
N1 0.2358 0.2500 0.1250 1
```

Total magnetic moment: 0.000 μB per cell
Excess energy over the best structure of this formula in the dataset: 0.000 eV/atom
Electronic total energy: -0.587 Ry/atom
Formation energy from raw total energies: 1.4 eV/f.u.

5.
# RbTePtW

An optimized crystal structure of RbTePtW (PBE, the Alexandria database).

Cell and atoms, written as CIF:
```
data_RbTePtW
_chemical_formula_sum 'Rb2 Te2 Pt2 W2'
_cell_length_a 6.9908
_cell_length_b 4.0391
_cell_length_c 8.4674
_cell_angle_alpha 90.00
_cell_angle_beta 105.95
_cell_angle_gamma 90.00
_space_group_name_H-M_alt 'C 1 m 1'
_space_group_IT_number 8
loop_
_space_group_symop_operation_xyz
'x,y,z'
'x,-y,z'
'x+1/2,y+1/2,z'
'x+1/2,-y+1/2,z'
loop_
_atom_site_label
_atom_site_fract_x
_atom_site_fract_y
_atom_site_fract_z
_atom_site_occupancy
Rb1 0.0000 0.0000 0.0000 1
Te1 0.2169 0.0000 0.6475 1
Pt1 0.4429 0.0000 0.3261 1
W1 0.3151 0.5000 0.4418 1
```

Total magnetic moment: 2.075 μB per cell
Excess energy over the best structure of this formula in the dataset: 0.000 eV/atom
Electronic total energy: -0.418 Ry/atom
Formation energy from raw total energies: 0.4 eV/f.u.

6.
# KMnNi

An optimized crystal structure of KMnNi (PBE, the Alexandria database).

Cell and atoms, written as CIF:
```
data_KMnNi
_chemical_formula_sum 'K2 Mn2 Ni2'
_cell_length_a 3.8252
_cell_length_b 3.8253
_cell_length_c 11.5574
_cell_angle_alpha 90.53
_cell_angle_beta 97.93
_cell_angle_gamma 119.98
_space_group_name_H-M_alt 'P -1'
_space_group_IT_number 2
loop_
_space_group_symop_operation_xyz
'x,y,z'
'-x,-y,-z'
loop_
_atom_site_label
_atom_site_fract_x
_atom_site_fract_y
_atom_site_fract_z
_atom_site_occupancy
K1 0.0103 0.2640 0.3068 1
Mn1 0.1675 0.8338 0.0014 1
Ni1 0.4396 0.4668 0.8946 1
```

Total magnetic moment: 0.000 μB per cell
DFT formation energy: 0.425 eV per atom
Excess energy over the best structure of this formula in the dataset: 0.063 eV/atom
Electronic total energy: -0.362 Ry/atom

7.
# Ac2MgNiH6

An optimized crystal structure of Ac2MgNiH6 (PBE, the Alexandria database).

Cell and atoms, written as CIF:
```
data_Ac2MgNiH6
_chemical_formula_sum 'Ac4 Mg2 Ni2 H12'
_cell_length_a 5.3087
_cell_length_b 5.3087
_cell_length_c 8.7512
_cell_angle_alpha 90.00
_cell_angle_beta 90.00
_cell_angle_gamma 90.00
_space_group_name_H-M_alt 'I 4/m m m'
_space_group_IT_number 139
_space_group_name_Hall '-I 4 2'
loop_
_atom_site_label
_atom_site_fract_x
_atom_site_fract_y
_atom_site_fract_z
_atom_site_occupancy
Ac1 0.0000 0.5000 0.2500 1
Mg1 0.0000 0.0000 0.0000 1
Ni1 0.0000 0.0000 0.5000 1
H1 0.0000 0.0000 0.2282 1
H2 0.2224 0.2224 0.5000 1
```

Total magnetic moment: 0.000 μB per cell
Electronic total energy: -0.280 Ry/atom

8.
# NbAl3Bi

An optimized crystal structure of NbAl3Bi (PBE, the Alexandria database).

Cell and atoms, written as CIF:
```
data_NbAl3Bi
_chemical_formula_sum 'Nb1 Al3 Bi1'
_cell_length_a 5.0386
_cell_length_b 5.0386
_cell_length_c 5.0386
_cell_angle_alpha 90.00
_cell_angle_beta 90.00
_cell_angle_gamma 90.00
_space_group_name_H-M_alt 'P m -3 m'
_space_group_IT_number 221
_space_group_name_Hall '-P 4 2 3'
loop_
_atom_site_label
_atom_site_fract_x
_atom_site_fract_y
_atom_site_fract_z
_atom_site_occupancy
Nb1 0.0000 0.0000 0.0000 1
Al1 0.0000 0.0000 0.5000 1
Bi1 0.5000 0.5000 0.5000 1
```

Total magnetic moment: 0.000 μB per cell
DFT formation energy: 0.721 eV per atom
Excess energy over the best structure of this formula in the dataset: 0.000 eV/atom
Electronic total energy: -0.317 Ry/atom

9.
# LaTl2Co

An optimized crystal structure of LaTl2Co (PBE, the Alexandria database).

Cell and atoms, written as CIF:
```
data_LaTl2Co
_chemical_formula_sum 'La2 Tl4 Co2'
_cell_length_a 5.1414
_cell_length_b 9.2249
_cell_length_c 4.3697
_cell_angle_alpha 90.00
_cell_angle_beta 90.00
_cell_angle_gamma 90.00
_space_group_name_H-M_alt 'C m m m'
_space_group_IT_number 65
_space_group_name_Hall '-C 2 2'
loop_
_atom_site_label
_atom_site_fract_x
_atom_site_fract_y
_atom_site_fract_z
_atom_site_occupancy
La1 0.0000 0.0000 0.0000 1
Tl1 0.0000 0.3322 0.5000 1
Co1 0.0000 0.5000 0.0000 1
```

Total magnetic moment: 0.000 μB per cell
DFT formation energy: -0.037 eV per atom
Electronic total energy: -0.311 Ry/atom

10.
# Sc2InGa

An optimized crystal structure of Sc2InGa (PBE, the Alexandria database).

Cell and atoms, written as CIF:
```
data_Sc2InGa
_chemical_formula_sum 'Sc8 In4 Ga4'
_cell_length_a 6.9303
_cell_length_b 6.9303
_cell_length_c 6.9303
_cell_angle_alpha 90.00
_cell_angle_beta 90.00
_cell_angle_gamma 90.00
_space_group_name_H-M_alt 'F m -3 m'
_space_group_IT_number 225
_space_group_name_Hall '-F 4 2 3'
loop_
_atom_site_label
_atom_site_fract_x
_atom_site_fract_y
_atom_site_fract_z
_atom_site_occupancy
Sc1 0.2500 0.2500 0.2500 1
In1 0.0000 0.0000 0.0000 1
Ga1 0.0000 0.0000 0.5000 1
```

Total magnetic moment: 0.000 μB per cell
DFT formation energy: -0.471 eV per atom
Excess energy over the best structure of this formula in the dataset: 0.033 eV/atom
Electronic total energy: -0.373 Ry/atom

- Which value of electronic total energy does entry 2 give?
  -0.369 Ry/atom

Repeat the fourth record exactly.
# RuRhN2

An optimized crystal structure of RuRhN2 (PBE, the Alexandria database).

Cell and atoms, written as CIF:
```
data_RuRhN2
_chemical_formula_sum 'Ru4 Rh4 N8'
_cell_length_a 4.5961
_cell_length_b 4.5961
_cell_length_c 9.1475
_cell_angle_alpha 90.00
_cell_angle_beta 90.00
_cell_angle_gamma 90.00
_space_group_name_H-M_alt 'I -4 2 d'
_space_group_IT_number 122
_space_group_name_Hall 'I -4 2bw'
loop_
_atom_site_label
_atom_site_fract_x
_atom_site_fract_y
_atom_site_fract_z
_atom_site_occupancy
Ru1 0.0000 0.0000 0.0000 1
Rh1 0.0000 0.0000 0.5000 1
N1 0.2358 0.2500 0.1250 1
```

Total magnetic moment: 0.000 μB per cell
Excess energy over the best structure of this formula in the dataset: 0.000 eV/atom
Electronic total energy: -0.587 Ry/atom
Formation energy from raw total energies: 1.4 eV/f.u.

Repeat the seventh record exactly.
# Ac2MgNiH6

An optimized crystal structure of Ac2MgNiH6 (PBE, the Alexandria database).

Cell and atoms, written as CIF:
```
data_Ac2MgNiH6
_chemical_formula_sum 'Ac4 Mg2 Ni2 H12'
_cell_length_a 5.3087
_cell_length_b 5.3087
_cell_length_c 8.7512
_cell_angle_alpha 90.00
_cell_angle_beta 90.00
_cell_angle_gamma 90.00
_space_group_name_H-M_alt 'I 4/m m m'
_space_group_IT_number 139
_space_group_name_Hall '-I 4 2'
loop_
_atom_site_label
_atom_site_fract_x
_atom_site_fract_y
_atom_site_fract_z
_atom_site_occupancy
Ac1 0.0000 0.5000 0.2500 1
Mg1 0.0000 0.0000 0.0000 1
Ni1 0.0000 0.0000 0.5000 1
H1 0.0000 0.0000 0.2282 1
H2 0.2224 0.2224 0.5000 1
```

Total magnetic moment: 0.000 μB per cell
Electronic total energy: -0.280 Ry/atom

- The lowest electronic total energy belongs to which entry?
  RuRhN2